No. 1
Computed, not measured: a geometry-optimized Mo3Pt4W structure at the PBE level of DFT.

Computed properties:
Space-group type   C2/m (12)
Fermi-level density of states   8.87 states/eV/f.u.
Energy of formation   285 meV/atom

a b c (Å): 11.704 11.704 4.570
angles (deg): 94.05 94.05 13.47
Element x y z (fractional)
Mo  0.000  0.000  0.000
Mo  0.183  0.183  0.624
Mo  0.817  0.817  0.376
Pt  0.291  0.291  0.842
Pt  0.403  0.403  0.147
Pt  0.597  0.597  0.853
Pt  0.709  0.709  0.158
W  0.500  0.500  0.500

No. 2
Computed, not measured: a geometry-optimized Th4Tl5Hg structure at the PBE level of DFT.

Computed properties:
Space-group type   Pmmn (59)
Fermi-level density of states   10.23 states/eV/f.u.
Energy of formation   144 meV/atom

a b c (Å): 7.551 10.507 7.905
angles (deg): 90.00 90.00 90.00
Element x y z (fractional)
Th  0.005  0.250  0.203
Th  0.250  0.067  0.510
Th  0.250  0.433  0.510
Th  0.495  0.250  0.203
Th  0.505  0.750  0.797
Th  0.750  0.567  0.490
Th  0.750  0.933  0.490
Th  0.995  0.750  0.797
Tl  0.052  0.565  0.172
Tl  0.052  0.935  0.172
Tl  0.250  0.250  0.862
Tl  0.448  0.565  0.172
Tl  0.448  0.935  0.172
Tl  0.552  0.065  0.828
Tl  0.552  0.435  0.828
Tl  0.750  0.750  0.138
Tl  0.948  0.065  0.828
Tl  0.948  0.435  0.828
Hg  0.250  0.750  0.471
Hg  0.750  0.250  0.529

No. 3
Computed, not measured: a geometry-optimized K2SrLa structure at the PBE level of DFT.

Computed properties:
Space-group type   Cmmm (65)
Fermi-level density of states   4.79 states/eV/f.u.
Energy of formation   285 meV/atom
Energy above the most stable polymorph in this dataset   0.37 eV/f.u.

a b c (Å): 3.977 3.977 14.933
angles (deg): 90.00 90.00 116.33
Element x y z (fractional)
K  0.000  0.000  0.242
K  0.000  0.000  0.758
Sr  0.500  0.500  0.500
La  0.500  0.500  0.000

Calculated density, record by record: 14.29; 11.39; 2.39 g cm⁻³